Entry from Alexandria: an optimized crystal structure of Mg3Tl2Sn (PBE).

Properties
The value obtained for the energy above the most stable polymorph in this dataset is 0.044 eV per formula unit. The density of states at the Fermi level comes out at 2.0 states/eV/f.u.

a b c (Å): 3.5581 3.5581 11.6758
angles (deg): 90.00 90.00 90.00
Space group P4/mmm (No. 123)
Asymmetric unit:
Mg 0.0000 0.0000 0.0000
Mg 0.0000 0.0000 0.3325
Tl 0.5000 0.5000 0.1659
Sn 0.5000 0.5000 0.5000